Entry 1:
Material: NpP2Pd6
Method: DFT, PBE
State: relaxed

Computed properties:
SG   P4/mmm (123)
DFT formation energy   -444 meV per atom
DOS at the Fermi energy   1.351 states/eV per atom
Total magnetic moment   3.7 Bohr magnetons per cell
Calculated total energy   -6.546 eV per atom

abc: 4.0112 4.0112 8.9207
angles: 90.00 90.00 90.00
Sites, in units of the cell vectors:
Np (0.0000, 0.0000, 0.0000)
P (0.5000, 0.5000, 0.1233)
P (0.5000, 0.5000, 0.8767)
Pd (0.0000, 0.0000, 0.5000)
Pd (0.0000, 0.5000, 0.2736)
Pd (0.0000, 0.5000, 0.7264)
Pd (0.5000, 0.0000, 0.2736)
Pd (0.5000, 0.0000, 0.7264)
Pd (0.5000, 0.5000, 0.5000)

***

Entry 2:
Material: YTlCdPb
Method: DFT, PBE
State: relaxed

Computed properties:
SG   F-43m (216)
DFT formation energy   -127 meV per atom
DOS at the Fermi energy   0.437 states/eV per atom
Total magnetic moment   0.0 Bohr magnetons per cell
Energy relative to the lowest polymorph listed for this composition   4.03 kcal/mol of atoms
Calculated total energy   -3.490 eV per atom

abc: 5.3791 5.3791 5.3791
angles: 60.00 60.00 60.00
Sites, in units of the cell vectors:
Y (0.0000, 0.0000, 0.0000)
Tl (0.7500, 0.7500, 0.7500)
Cd (0.5000, 0.5000, 0.5000)
Pb (0.2500, 0.2500, 0.2500)